[1]
# HfGeSe2 (GGA-PBE, optimized geometry)
data_HfGeSe2
_symmetry_space_group_name_H-M 'I -4 2 d'
_symmetry_Int_Tables_number 122
_symmetry_space_group_name_Hall 'I -4 2bw'
_cell_length_a 6.566
_cell_length_b 6.566
_cell_length_c 10.783
_cell_angle_alpha 90.00
_cell_angle_beta 90.00
_cell_angle_gamma 90.00
loop_
_atom_site_label
_atom_site_fract_x
_atom_site_fract_y
_atom_site_fract_z
Hf1 0.000 0.000 0.000
Ge1 0.000 0.000 0.500
Se1 0.221 0.250 0.125
# Mass density in g/cm3: 5.8
# Formation energy (no corrections) in eV/atom: -0.17
# Total moment in μB per formula unit: 0.000

[2]
# Sm3Tl2Pd7 (GGA-PBE, optimized geometry)
data_Sm3Tl2Pd7
_symmetry_space_group_name_H-M 'C m m m'
_symmetry_Int_Tables_number 65
_symmetry_space_group_name_Hall '-C 2 2'
_cell_length_a 4.556
_cell_length_b 24.139
_cell_length_c 4.655
_cell_angle_alpha 90.00
_cell_angle_beta 90.00
_cell_angle_gamma 90.00
loop_
_atom_site_label
_atom_site_fract_x
_atom_site_fract_y
_atom_site_fract_z
Sm1 0.000 0.000 0.000
Sm2 0.000 0.160 0.000
Tl1 0.000 0.351 0.500
Pd1 0.000 0.076 0.500
Pd2 0.000 0.223 0.500
Pd3 0.000 0.421 0.000
Pd4 0.000 0.500 0.500
# Mass density in g/cm3: 10.4
# Energy of formation from the pure elements in eV/f.u.: -6.53
# Total moment in μB per formula unit: 0.000

[3]
# KAsCl2 (GGA-PBE, optimized geometry)
data_KAsCl2
_symmetry_space_group_name_H-M 'C m m m'
_symmetry_Int_Tables_number 65
_symmetry_space_group_name_Hall '-C 2 2'
_cell_length_a 4.308
_cell_length_b 10.371
_cell_length_c 7.571
_cell_angle_alpha 90.00
_cell_angle_beta 90.00
_cell_angle_gamma 90.00
loop_
_atom_site_label
_atom_site_fract_x
_atom_site_fract_y
_atom_site_fract_z
K1 0.000 0.000 0.000
As1 0.000 0.000 0.500
Cl1 0.000 0.500 0.287
# Mass density in g/cm3: 1.8
# Formation energy (no corrections) in eV/atom: -0.58
# Polymorph energy (0 for the lowest one) in meV/atom: 245
# Total moment in μB per formula unit: 0.770

[4]
# Pm3I (GGA-PBE, optimized geometry)
data_Pm3I
_symmetry_space_group_name_H-M 'I 4/m m m'
_symmetry_Int_Tables_number 139
_symmetry_space_group_name_Hall '-I 4 2'
_cell_length_a 4.877
_cell_length_b 4.877
_cell_length_c 10.808
_cell_angle_alpha 90.00
_cell_angle_beta 90.00
_cell_angle_gamma 90.00
loop_
_atom_site_label
_atom_site_fract_x
_atom_site_fract_y
_atom_site_fract_z
Pm1 0.000 0.000 0.000
Pm2 0.000 0.500 0.250
I1 0.000 0.000 0.500
# Mass density in g/cm3: 7.3
# Formation energy (no corrections) in eV/atom: -0.10
# Polymorph energy (0 for the lowest one) in meV/atom: 5
# Total moment in μB per formula unit: 0.000